--- one ---
VASP calculation (PBE) on a relaxed structure of BaAgGe2.

Summary:
Symmetry: Pnma (62)
Total magnetic moment: 0.000 μB per cell
Crystal system: orthorhombic

a b c (Å): 4.606 11.752 15.136
angles (deg): 90.00 90.00 90.00
Fractional positions:
Ag 0.250 0.053 0.556
Ge 0.750 0.724 0.384
Ge 0.750 0.776 0.884
Ge 0.250 0.218 0.285
Ge 0.750 0.782 0.715
Ba 0.250 0.743 0.050
Ba 0.250 0.757 0.550
Ge 0.250 0.276 0.616
Ba 0.750 0.243 0.450
Ba 0.750 0.257 0.950
Ba 0.750 0.010 0.203
Ge 0.750 0.527 0.128
Ag 0.750 0.307 0.196
Ba 0.750 0.490 0.703
Ge 0.750 0.534 0.468
Ge 0.250 0.027 0.372
Ba 0.250 0.510 0.297
Ag 0.750 0.553 0.944
Ge 0.250 0.224 0.116
Ag 0.250 0.447 0.056
Ge 0.250 0.034 0.032
Ge 0.750 0.966 0.968
Ge 0.250 0.473 0.872
Ge 0.250 0.466 0.532
Ag 0.250 0.693 0.804
Ge 0.750 0.973 0.628
Ge 0.250 0.282 0.785
Ag 0.250 0.807 0.304
Ag 0.750 0.193 0.696
Ge 0.750 0.718 0.215
Ba 0.250 0.990 0.797
Ag 0.750 0.947 0.444

***

--- two ---
VASP calculation (PBE) on a relaxed structure of BaAgGe2.

Summary:
Symmetry: Fm-3m (225)
Total magnetic moment: 0.000 μB per cell
Crystal system: cubic

a b c (Å): 5.216 5.216 5.216
angles (deg): 60.00 60.00 60.00
Fractional positions:
Ag 0.000 0.000 0.000
Ge 0.250 0.250 0.250
Ba 0.500 0.500 0.500
Ge 0.750 0.750 0.750

***

Preferred: one; penalty for the next structure: 38.2 kJ/mol of atoms.